BaDy4YSe8: optimized geometry, PBE-GGA.

Summary:
magnetization = 0.00 μB per formula unit
raw formation energy = -24.9 eV/f.u.
calculated density = 5.55 g cm⁻³
space-group type = R3m, No. 160

Lattice parameters (Å, degrees): 8.6044 8.6044 8.6137 60.04 60.04 60.00
Fractional positions:
Ba 0.3746 0.3746 0.8761
Dy 0.6252 0.6252 0.1245
Dy 0.0016 0.4950 0.5017
Dy 0.4950 0.0016 0.5017
Dy 0.0016 0.0016 0.5017
Y 0.0016 0.0016 0.9952
Se 0.2331 0.8018 0.7319
Se 0.8018 0.2331 0.7319
Se 0.2331 0.2331 0.7319
Se 0.2325 0.2325 0.3026
Se 0.7569 0.2287 0.2575
Se 0.2287 0.7569 0.2575
Se 0.7569 0.7569 0.2575
Se 0.7572 0.7572 0.7283

Ba2DyZnSe5: optimized geometry, PBE-GGA.

Summary:
magnetization = 0.00 μB per formula unit
raw formation energy = -13.9 eV/f.u.
calculated density = 5.55 g cm⁻³
space-group type = Cmc2_1, No. 36

Lattice parameters (Å, degrees): 4.2798 9.6969 13.2681 90.00 90.00 102.75
Fractional positions:
Ba 0.8742 0.7483 0.8261
Ba 0.1191 0.2382 0.6917
Ba 0.1258 0.2517 0.3261
Ba 0.8809 0.7618 0.1917
Dy 0.7977 0.5953 0.5196
Dy 0.2023 0.4047 0.0196
Zn 0.5606 0.1212 0.9344
Zn 0.4394 0.8788 0.4344
Se 0.3499 0.6997 0.0113
Se 0.6903 0.3806 0.8714
Se 0.4991 0.9982 0.7734
Se 0.2992 0.5985 0.6634
Se 0.9534 0.9067 0.5327
Se 0.6501 0.3003 0.5113
Se 0.3097 0.6194 0.3714
Se 0.5009 0.0018 0.2734
Se 0.7008 0.4015 0.1634
Se 0.0466 0.0933 0.0327

BaDySi: optimized geometry, PBE-GGA.

Summary:
magnetization = 0.00 μB per formula unit
raw formation energy = -1.2 eV/f.u.
calculated density = 5.55 g cm⁻³
space-group type = P4/nmm, No. 129

Lattice parameters (Å, degrees): 5.0546 5.0546 7.6835 90.00 90.00 90.00
Fractional positions:
Ba 0.0000 0.5000 0.8649
Ba 0.5000 0.0000 0.1351
Si 0.0000 0.5000 0.3070
Si 0.5000 0.0000 0.6930
Dy 0.5000 0.5000 0.5000
Dy 0.0000 0.0000 0.5000

BaDyZn2Si2: optimized geometry, PBE-GGA.

Summary:
magnetization = 0.00 μB per formula unit
raw formation energy = -2.9 eV/f.u.
calculated density = 5.82 g cm⁻³
space-group type = P-3m1, No. 164

Lattice parameters (Å, degrees): 4.2279 4.2279 8.9721 90.00 90.00 120.00
Fractional positions:
Ba 0.0000 0.0000 0.0000
Dy 0.0000 0.0000 0.5000
Zn 0.6667 0.3333 0.2873
Zn 0.3333 0.6667 0.7127
Si 0.6667 0.3333 0.7121
Si 0.3333 0.6667 0.2879